[1]
# LaNbIn

LaNbIn after structural relaxation (PBE-GGA, OQMD via LeMat-Bulk).

distance to the lowest polymorph of the same formula: 44.0 kJ/mol of atoms

Cell lengths 5.127, 5.127, 5.127 Å; angles 60.00, 60.00, 60.00 degrees
Sites, in units of the cell vectors:
La (0.000, 0.000, 0.000)
Nb (0.250, 0.250, 0.250)
In (0.750, 0.750, 0.750)


[2]
# LaNdIn

LaNdIn after structural relaxation (PBE-GGA, OQMD via LeMat-Bulk).

distance to the lowest polymorph of the same formula: 0.0 kJ/mol of atoms

Cell lengths 5.375, 5.375, 5.375 Å; angles 60.00, 60.00, 60.00 degrees
Sites, in units of the cell vectors:
La (0.000, 0.000, 0.000)
Nd (0.500, 0.500, 0.500)
In (0.250, 0.250, 0.250)


[3]
# LaNd2In3Ni3

LaNd2In3Ni3 after structural relaxation (PBE-GGA, OQMD via LeMat-Bulk).

Cell lengths 3.975, 7.551, 7.551 Å; angles 119.71, 90.00, 90.00 degrees
Sites, in units of the cell vectors:
La (0.000, 0.000, 0.000)
Nd (0.000, 0.170, 0.583)
Nd (0.000, 0.583, 0.170)
In (0.500, 0.341, 0.341)
In (0.500, 0.581, 0.830)
In (0.500, 0.830, 0.581)
Ni (0.000, 0.586, 0.586)
Ni (0.500, 0.249, 0.918)
Ni (0.500, 0.918, 0.249)


no.,total energy (eV per atom)
1,-4.9365
2,-4.2774
3,-4.8462